Record 1
VASP calculation (PBEsol) on crystalline CaIn2Pb at its relaxed geometry.

Summary:
Crystal system ... orthorhombic
Energy relative to the elements ... -0.280 eV per atom
M_tot ... 0.00 μB/cell

Cell: 3.5739 5.6712 5.6712 Å, 110.95 90.00 90.00°
Last column: nearest neighbours and their distance in Å.
Atoms (fractional coordinates):
In1 0.0000 0.0000 0.5000  4 In 3.21-3.57, 4 Ca 3.35, 4 Pb 3.35
In2 0.0000 0.5000 0.0000  4 In 3.21-3.57, 4 Pb 3.35, 4 Ca 3.35
Ca1 0.5000 0.0000 0.0000  2 Pb 3.21, 8 In 3.35, 2 Ca 3.57
Pb1 0.5000 0.5000 0.5000  2 Ca 3.21, 8 In 3.35, 2 Pb 3.57

***

Record 2
VASP calculation (PBEsol) on crystalline Dy2AlCo2 at its relaxed geometry.

Summary:
Crystal system ... orthorhombic
Energy relative to the elements ... -0.395 eV per atom
M_tot ... 0.00 μB/cell

Cell: 3.9910 5.2972 5.2972 Å, 60.78 67.87 67.87°
Last column: nearest neighbours and their distance in Å.
Atoms (fractional coordinates):
Co1 0.5000 0.7193 0.2807  1 Co 2.35, 2 Al 2.50
Co2 0.5000 0.2807 0.7193  1 Co 2.35, 2 Al 2.50
Dy1 0.2050 0.2950 0.2950  6 Co 2.85-2.86, 4 Al 3.14-3.17
Dy2 0.7950 0.7050 0.7050  6 Co 2.85-2.86, 4 Al 3.14-3.17
Al1 0.0000 0.0000 0.0000  4 Co 2.50

***

Record 3
VASP calculation (PBEsol) on crystalline MnCr2Pb at its relaxed geometry.

Summary:
Crystal system ... tetragonal
Energy relative to the elements ... 0.815 eV per atom
M_tot ... 5.03 μB/cell

Cell: 3.4924 4.1653 4.1653 Å, 90.00 90.00 90.00°
Last column: nearest neighbours and their distance in Å.
Atoms (fractional coordinates):
Mn1 0.5000 0.5000 0.5000  8 Cr 2.72, 4 Pb 2.95
Pb1 0.5000 0.0000 0.0000  8 Cr 2.72, 4 Mn 2.95
Cr1 0.0000 0.5000 0.0000  4 Mn 2.72, 4 Pb 2.72, 4 Cr 2.95
Cr2 0.0000 0.0000 0.5000  4 Mn 2.72, 4 Pb 2.72, 4 Cr 2.95

***

Record 4
VASP calculation (PBEsol) on crystalline NiRu2Rh at its relaxed geometry.

Summary:
Crystal system ... tetragonal
Energy relative to the elements ... 0.087 eV per atom
M_tot ... 0.00 μB/cell

Cell: 2.6433 2.6433 7.2671 Å, 90.00 90.00 90.00°
Last column: nearest neighbours and their distance in Å.
Atoms (fractional coordinates):
Rh1 0.5000 0.5000 0.7432  4 Ni 2.58, 4 Rh 2.64, 4 Ru 2.65
Ru1 0.5000 0.5000 0.2572  4 Ni 2.56, 8 Ru 2.63-2.64
Ru2 0.0000 0.0000 0.0021  8 Ru 2.63-2.64, 4 Rh 2.65
Ni1 0.0000 0.0000 0.4976  4 Ru 2.56, 4 Rh 2.58, 4 Ni 2.64

***

Record 5
VASP calculation (PBEsol) on crystalline Sb2HPtI at its relaxed geometry.

Summary:
Crystal system ... tetragonal
E ... -18.03 eV per cell
M_tot ... 0.00 μB/cell

Cell: 4.3237 4.3237 5.2234 Å, 90.00 90.00 90.00°
Last column: nearest neighbours and their distance in Å.
Atoms (fractional coordinates):
I1 0.0000 0.0000 0.5000  2 H 2.61
Sb1 0.5000 0.0000 0.0000  2 H 2.16
Sb2 0.0000 0.5000 0.0000  2 H 2.16
H1 0.0000 0.0000 0.0000  4 Sb 2.16
Pt1 0.5000 0.5000 0.5000  4 I 3.06, 8 Sb 3.39

***

Record 6
VASP calculation (PBEsol) on crystalline AlHgPb at its relaxed geometry.

Summary:
Crystal system ... tetragonal
Energy relative to the elements ... 0.129 eV per atom
M_tot ... 0.00 μB/cell

Cell: 3.3608 3.3608 6.6237 Å, 104.70 104.70 90.00°
Last column: nearest neighbours and their distance in Å.
Atoms (fractional coordinates):
Hg1 0.6468 0.6468 0.2935  4 Al 2.89
Pb1 0.3392 0.3392 0.6783  4 Al 3.21, 4 Pb 3.36, 4 Hg 3.36
Al1 0.0141 0.0141 0.0281  4 Hg 2.89, 4 Pb 3.21

***

Record 7
VASP calculation (PBEsol) on crystalline Be2ReTe at its relaxed geometry.

Summary:
Crystal system ... orthorhombic
E ... -22.36 eV per cell
M_tot ... 0.00 μB/cell

Cell: 3.3391 4.2172 4.7218 Å, 116.52 110.71 90.00°
Last column: nearest neighbours and their distance in Å.
Atoms (fractional coordinates):
Re1 0.0000 0.5000 0.0000  4 Be 2.52, 4 Te 2.69
Te1 0.5000 0.0000 0.0000  8 Be 2.61-2.83, 4 Re 2.69
Be1 0.2577 0.2577 0.5153  2 Re 2.52, 2 Te 2.61, 4 Be 2.69
Be2 0.7423 0.7423 0.4847  2 Re 2.52, 2 Te 2.61, 4 Be 2.69

***

Record 8
VASP calculation (PBEsol) on crystalline CrSiPt2 at its relaxed geometry.

Summary:
Crystal system ... tetragonal
E ... -59.84 eV per cell
M_tot ... 4.96 μB/cell

Cell: 3.8073 3.8073 8.8278 Å, 102.45 102.45 90.00°
Last column: nearest neighbours and their distance in Å.
Atoms (fractional coordinates):
Si1 0.7500 0.2500 0.5000  4 Pt 2.49, 4 Cr 2.69
Si2 0.5000 0.5000 0.0000  4 Pt 2.49, 4 Cr 2.69
Pt1 0.1250 0.1293 0.7500  2 Si 2.49, 2 Cr 2.50, 4 Pt 2.67-2.72
Pt2 0.3793 0.8750 0.2500  2 Si 2.49, 2 Cr 2.50, 4 Pt 2.67-2.72
Pt3 0.8707 0.3750 0.2500  2 Si 2.49, 2 Cr 2.50, 4 Pt 2.67-2.72
Pt4 0.6250 0.6207 0.7500  2 Si 2.49, 2 Cr 2.50, 4 Pt 2.67-2.72
Cr1 0.0000 0.0000 0.0000  4 Pt 2.50, 4 Si 2.69
Cr2 0.2500 0.7500 0.5000  4 Pt 2.50, 4 Si 2.69

***

Record 9
VASP calculation (PBEsol) on crystalline NiAgOs2 at its relaxed geometry.

Summary:
Crystal system ... monoclinic
Energy relative to the elements ... 0.630 eV per atom
M_tot ... 0.00 μB/cell

Cell: 2.6391 4.4561 4.7896 Å, 90.00 97.21 90.00°
Last column: nearest neighbours and their distance in Å.
Atoms (fractional coordinates):
Os1 0.1900 0.0000 0.2653  2 Ni 2.57, 5 Os 2.57-2.64, 2 Ag 2.74
Os2 0.8100 0.0000 0.7347  2 Ni 2.57, 5 Os 2.57-2.64, 2 Ag 2.74
Ni1 0.0000 0.5000 0.5000  4 Os 2.57, 4 Ag 2.59-2.88, 2 Ni 2.64
Ag1 0.5000 0.5000 0.0000  4 Ni 2.59-2.88, 2 Ag 2.64, 4 Os 2.74

***

Record 10
VASP calculation (PBEsol) on crystalline Al2P2N at its relaxed geometry.

Summary:
Crystal system ... tetragonal
E ... -50.75 eV per cell
M_tot ... 0.00 μB/cell

Cell: 3.5938 6.2683 6.2683 Å, 90.00 90.00 90.00°
Last column: nearest neighbours and their distance in Å.
Atoms (fractional coordinates):
Al1 0.5000 0.3600 0.1400  2 P 2.33, 1 Al 2.48
Al2 0.5000 0.1400 0.6400  2 P 2.33, 1 Al 2.48
Al3 0.5000 0.8600 0.3600  2 P 2.33, 1 Al 2.48
Al4 0.5000 0.6400 0.8600  2 P 2.33, 1 Al 2.48
N1 0.0000 0.0000 0.0000  4 P 2.27
N2 0.0000 0.5000 0.5000  4 P 2.27
P1 0.0000 0.1927 0.3073  2 N 2.27, 2 Al 2.33
P2 0.0000 0.8073 0.6927  2 N 2.27, 2 Al 2.33
P3 0.0000 0.6927 0.1927  2 N 2.27, 2 Al 2.33
P4 0.0000 0.3073 0.8073  2 N 2.27, 2 Al 2.33

***

Record 11
VASP calculation (PBEsol) on crystalline AlGeSe3 at its relaxed geometry.

Summary:
Crystal system ... cubic
E ... -20.36 eV per cell
M_tot ... 0.00 μB/cell

Cell: 4.8189 4.8189 4.8189 Å, 90.00 90.00 90.00°
Last column: nearest neighbours and their distance in Å.
Atoms (fractional coordinates):
Al1 0.0000 0.0000 0.0000  6 Se 2.41
Se1 0.0000 0.5000 0.0000  2 Al 2.41
Se2 0.0000 0.0000 0.5000  2 Al 2.41
Se3 0.5000 0.0000 0.0000  2 Al 2.41
Ge1 0.5000 0.5000 0.5000  12 Se 3.41

***

Record 12
VASP calculation (PBEsol) on crystalline SrH18O10 at its relaxed geometry.

Summary:
Crystal system ... tetragonal
E ... -596.67 eV per cell
M_tot ... 0.00 μB/cell

Cell: 8.8650 8.8650 11.1088 Å, 90.00 90.00 90.00°
Last column: nearest neighbours and their distance in Å.
Atoms (fractional coordinates):
H1 0.8304 0.5596 0.3637  1 O 1.02
H2 0.6696 0.9404 0.6363  1 O 1.02
H3 0.3282 0.0568 0.3800  1 O 1.02
H4 0.5000 0.0000 0.9889  1 O 0.99
H5 0.0968 0.7884 0.4692  1 O 1.01
H6 0.1718 0.4432 0.6200  1 O 1.02
H7 0.2116 0.0968 0.5308  1 O 1.01
H8 0.7884 0.9032 0.5308  1 O 1.01
H9 0.2884 0.5968 0.9692  1 O 1.01
H10 0.5968 0.2884 0.5308  1 O 1.01
H11 0.7884 0.0968 0.0308  1 O 1.01
H12 0.7604 0.2142 0.8714  1 O 1.02
H13 0.9432 0.6718 0.1200  1 O 1.02
H14 0.3304 0.9404 0.1363  1 O 1.02
H15 0.0000 0.5000 0.7557  1 O 0.99
H16 0.4432 0.1718 0.8800  1 O 1.02
H17 0.9404 0.6696 0.8637  1 O 1.02
H18 0.8282 0.4432 0.1200  1 O 1.02
H19 0.2396 0.7858 0.8714  1 O 1.02
H20 0.2142 0.7604 0.6286  1 O 1.02
H21 0.5000 0.0000 0.7443  1 O 0.99
H22 0.7142 0.2604 0.3714  1 O 1.02
H23 0.2116 0.9032 0.0308  1 O 1.01
H24 0.5596 0.1696 0.6363  1 O 1.02
H25 0.4404 0.8304 0.6363  1 O 1.02
H26 0.1696 0.5596 0.8637  1 O 1.02
H27 0.6718 0.0568 0.8800  1 O 1.02
H28 0.1718 0.5568 0.1200  1 O 1.02
H29 0.9404 0.3304 0.3637  1 O 1.02
H30 0.4032 0.2884 0.0308  1 O 1.01
H31 0.0000 0.5000 0.0111  1 O 0.99
H32 0.5000 0.0000 0.2443  1 O 0.99
H33 0.2858 0.2604 0.8714  1 O 1.02
H34 0.3282 0.9432 0.8800  1 O 1.02
H35 0.9032 0.7884 0.9692  1 O 1.01
H36 0.5596 0.8304 0.1363  1 O 1.02
H37 0.2604 0.7142 0.1286  1 O 1.02
H38 0.0968 0.2116 0.9692  1 O 1.01
H39 0.9032 0.2116 0.4692  1 O 1.01
H40 0.2884 0.4032 0.4692  1 O 1.01
H41 0.5968 0.7116 0.0308  1 O 1.01
H42 0.7396 0.2858 0.1286  1 O 1.02
H43 0.0000 0.5000 0.5111  1 O 0.99
H44 0.7858 0.2396 0.6286  1 O 1.02
H45 0.0596 0.6696 0.3637  1 O 1.02
H46 0.4404 0.1696 0.1363  1 O 1.02
H47 0.1696 0.4404 0.3637  1 O 1.02
H48 0.5568 0.1718 0.3800  1 O 1.02
H49 0.5568 0.8282 0.8800  1 O 1.02
H50 0.8304 0.4404 0.8637  1 O 1.02
H51 0.9432 0.3282 0.6200  1 O 1.02
H52 0.8282 0.5568 0.6200  1 O 1.02
H53 0.2396 0.2142 0.3714  1 O 1.02
H54 0.2604 0.2858 0.6286  1 O 1.02
H55 0.7142 0.7396 0.8714  1 O 1.02
H56 0.6696 0.0596 0.1363  1 O 1.02
H57 0.7396 0.7142 0.6286  1 O 1.02
H58 0.7116 0.5968 0.4692  1 O 1.01
H59 0.4032 0.7116 0.5308  1 O 1.01
H60 0.0000 0.5000 0.2557  1 O 0.99
H61 0.4432 0.8282 0.3800  1 O 1.02
H62 0.6718 0.9432 0.3800  1 O 1.02
H63 0.0596 0.3304 0.8637  1 O 1.02
H64 0.0568 0.3282 0.1200  1 O 1.02
H65 0.2142 0.2396 0.1286  1 O 1.02
H66 0.7604 0.7858 0.3714  1 O 1.02
H67 0.7116 0.4032 0.9692  1 O 1.01
H68 0.5000 0.0000 0.4889  1 O 0.99
H69 0.0568 0.6718 0.6200  1 O 1.02
H70 0.2858 0.7396 0.3714  1 O 1.02
H71 0.7858 0.7604 0.1286  1 O 1.02
H72 0.3304 0.0596 0.6363  1 O 1.02
O1 0.6041 0.7254 0.1211  2 H 1.01-1.02
O2 0.3987 0.7221 0.3802  2 H 1.02
O3 0.0000 0.5000 0.1001  1 H 0.99
O4 0.8959 0.2254 0.3789  2 H 1.01-1.02
O5 0.5000 0.0000 0.8999  1 H 0.99
O6 0.1013 0.7779 0.6198  2 H 1.02
O7 0.7221 0.3987 0.1198  2 H 1.02
O8 0.6041 0.2746 0.6211  2 H 1.01-1.02
O9 0.7779 0.1013 0.8802  2 H 1.02
O10 0.7221 0.6013 0.6198  2 H 1.02
O11 0.0000 0.5000 0.6001  1 H 0.99
O12 0.8959 0.7746 0.8789  2 H 1.01-1.02
O13 0.7254 0.3959 0.8789  2 H 1.01-1.02
O14 0.8987 0.2221 0.6198  2 H 1.02
O15 0.3959 0.2746 0.1211  2 H 1.01-1.02
O16 0.5000 0.0000 0.1552  1 H 0.99
O17 0.1013 0.2221 0.1198  2 H 1.02
O18 0.2746 0.6041 0.8789  2 H 1.01-1.02
O19 0.7779 0.8987 0.3802  2 H 1.02
O20 0.2254 0.1041 0.6211  2 H 1.01-1.02
O21 0.2746 0.3959 0.3789  2 H 1.01-1.02
O22 0.2254 0.8959 0.1211  2 H 1.01-1.02
O23 0.0000 0.5000 0.8448  1 H 0.99
O24 0.3987 0.2779 0.8802  2 H 1.02
O25 0.1041 0.7746 0.3789  2 H 1.01-1.02
O26 0.0000 0.5000 0.3448  1 H 0.99
O27 0.6013 0.7221 0.8802  2 H 1.02
O28 0.2221 0.8987 0.8802  2 H 1.02
O29 0.7746 0.1041 0.1211  2 H 1.01-1.02
O30 0.7254 0.6041 0.3789  2 H 1.01-1.02
O31 0.2221 0.1013 0.3802  2 H 1.02
O32 0.2779 0.3987 0.6198  2 H 1.02
O33 0.2779 0.6013 0.1198  2 H 1.02
O34 0.5000 0.0000 0.3999  1 H 0.99
O35 0.3959 0.7254 0.6211  2 H 1.01-1.02
O36 0.8987 0.7779 0.1198  2 H 1.02
O37 0.1041 0.2254 0.8789  2 H 1.01-1.02
O38 0.6013 0.2779 0.3802  2 H 1.02
O39 0.7746 0.8959 0.6211  2 H 1.01-1.02
O40 0.5000 0.0000 0.6552  1 H 0.99
Sr1 0.5000 0.5000 0.2500  8 O 2.60-2.63
Sr2 0.0000 0.0000 0.7500  8 O 2.60-2.63
Sr3 0.5000 0.5000 0.7500  8 O 2.60-2.63
Sr4 0.0000 0.0000 0.2500  8 O 2.60-2.63